(1)
# MnAlTe3, optimized geometry, DFT PBE
data_MnAlTe3
_cell_length_a 5.084
_cell_length_b 5.084
_cell_length_c 5.084
_cell_angle_alpha 90.00
_cell_angle_beta 90.00
_cell_angle_gamma 90.00
_symmetry_space_group_name_H-M 'P m -3 m'
_symmetry_Int_Tables_number 221
_symmetry_space_group_name_Hall '-P 4 2 3'
loop_
_atom_site_label
_atom_site_type_symbol
_atom_site_fract_x
_atom_site_fract_y
_atom_site_fract_z
Mn1 Mn 0.000 0.000 0.000
Al1 Al 0.500 0.500 0.500
Te1 Te 0.000 0.000 0.500
# Crystal system: cubic
# E_form (uncorrected) in meV per atom: 526
# E above lowest polymorph in meV/atom: 753

(2)
# MnAl2Te, optimized geometry, DFT PBE
data_MnAl2Te
_cell_length_a 2.964
_cell_length_b 2.964
_cell_length_c 8.741
_cell_angle_alpha 90.00
_cell_angle_beta 90.00
_cell_angle_gamma 90.00
_symmetry_space_group_name_H-M 'P 4/m m m'
_symmetry_Int_Tables_number 123
_symmetry_space_group_name_Hall '-P 4 2'
loop_
_atom_site_label
_atom_site_type_symbol
_atom_site_fract_x
_atom_site_fract_y
_atom_site_fract_z
Mn1 Mn 0.000 0.000 0.000
Al1 Al 0.500 0.500 0.159
Te1 Te 0.000 0.000 0.500
# Crystal system: tetragonal
# E_form (uncorrected) in meV per atom: 93

(3)
# MnAl2Te6, optimized geometry, DFT PBE
data_MnAl2Te6
_cell_length_a 12.816
_cell_length_b 12.109
_cell_length_c 7.490
_cell_angle_alpha 90.00
_cell_angle_beta 106.18
_cell_angle_gamma 90.00
_symmetry_space_group_name_H-M 'C 1 2/c 1'
_symmetry_Int_Tables_number 15
_symmetry_space_group_name_Hall '-C 2yc'
loop_
_atom_site_label
_atom_site_type_symbol
_atom_site_fract_x
_atom_site_fract_y
_atom_site_fract_z
Mn1 Mn 0.000 0.085 0.250
Al1 Al 0.188 0.408 0.317
Te1 Te 0.095 0.423 0.595
Te2 Te 0.098 0.090 0.620
Te3 Te 0.164 0.206 0.186
# Crystal system: monoclinic
# E_form (uncorrected) in meV per atom: -217

Number 1: total magnetization 0.000 μB/f.u., E -3.941 eV per atom. Number 2: total magnetization 1.180 μB/f.u., E -4.856 eV per atom. Number 3: total magnetization 3.063 μB/f.u., E -4.162 eV per atom.